No. 1
Computed, not measured: a relaxed BaHfS2N crystal at the GGA-PBE level of DFT.

## Properties
* space-group type: P4/mmm, No. 123
* crystal system: tetragonal
* M_tot: 0.2004 μB/atom
* E_form (uncorrected): -129.2 kJ/mol of atoms

abc: 5.105 5.105 4.230
angles: 90.00 90.00 90.00
Element x y z (fractional)
S 0.000 0.500 0.000
S 0.500 0.000 0.000
N 0.000 0.000 0.500
Ba 0.500 0.500 0.500
Hf 0.000 0.000 0.000

=====

No. 2
Computed, not measured: a relaxed BaHfSe2N crystal at the GGA-PBE level of DFT.

## Properties
* space-group type: P4/mmm, No. 123
* crystal system: tetragonal
* M_tot: 0.0001 μB/atom
* E_form (uncorrected): 106.2 kJ/mol of atoms

abc: 5.808 5.808 4.196
angles: 90.00 90.00 90.00
Element x y z (fractional)
Se 0.500 0.000 0.000
Ba 0.000 0.000 0.000
N 0.000 0.000 0.500
Hf 0.500 0.500 0.500
Se 0.000 0.500 0.000

=====

No. 3
Computed, not measured: a relaxed BaHfSe2N crystal at the GGA-PBE level of DFT.

## Properties
* space-group type: P4/mmm, No. 123
* crystal system: tetragonal
* M_tot: 0.1991 μB/atom
* E_form (uncorrected): -114.9 kJ/mol of atoms

abc: 5.385 5.385 4.205
angles: 90.00 90.00 90.00
Element x y z (fractional)
Se 0.000 0.500 0.000
Ba 0.500 0.500 0.500
Hf 0.000 0.000 0.000
Se 0.500 0.000 0.000
N 0.000 0.000 0.500

=====

No. 4
Computed, not measured: a relaxed BaHfTeN2 crystal at the GGA-PBE level of DFT.

## Properties
* space-group type: P4/mmm, No. 123
* crystal system: tetragonal
* M_tot: 0.3654 μB/atom
* E_form (uncorrected): -32.3 kJ/mol of atoms

abc: 4.482 4.482 5.736
angles: 90.00 90.00 90.00
Element x y z (fractional)
Hf 0.000 0.000 0.000
Te 0.000 0.000 0.500
Ba 0.500 0.500 0.500
N 0.500 0.000 0.000
N 0.000 0.500 0.000

=====

No. 5
Computed, not measured: a relaxed BaHfTeN2 crystal at the GGA-PBE level of DFT.

## Properties
* space-group type: P4/mmm, No. 123
* crystal system: tetragonal
* M_tot: 0.1094 μB/atom
* E_form (uncorrected): 155.9 kJ/mol of atoms

abc: 4.427 4.427 6.470
angles: 90.00 90.00 90.00
Element x y z (fractional)
Hf 0.500 0.500 0.500
Ba 0.000 0.000 0.000
N 0.500 0.000 0.000
Te 0.000 0.000 0.500
N 0.000 0.500 0.000

=====

No. 6
Computed, not measured: a relaxed BaHfThN3 crystal at the GGA-PBE level of DFT.

## Properties
* space-group type: P2_1/m, No. 11
* crystal system: monoclinic
* M_tot: 0.0000 μB/atom
* E_form (uncorrected): -115.6 kJ/mol of atoms

abc: 3.613 7.397 10.048
angles: 92.71 90.00 90.00
Element x y z (fractional)
N 0.250 0.870 0.548
Ba 0.250 0.149 0.206
N 0.750 0.804 0.238
Th 0.250 0.628 0.133
Hf 0.250 0.155 0.560
Th 0.750 0.372 0.867
N 0.750 0.130 0.452
Hf 0.750 0.845 0.440
N 0.750 0.407 0.099
Ba 0.750 0.851 0.794
N 0.250 0.196 0.762
N 0.250 0.593 0.901

=====

No. 7
Computed, not measured: a relaxed BaYHfN3 crystal at the GGA-PBE level of DFT.

## Properties
* space-group type: P2_1/m, No. 11
* crystal system: monoclinic
* M_tot: 0.0000 μB/atom
* E_form (uncorrected): -128.3 kJ/mol of atoms

abc: 3.715 6.201 8.821
angles: 102.83 90.00 90.00
Element x y z (fractional)
Hf 0.750 0.875 0.348
N 0.250 0.419 0.844
Y 0.250 0.756 0.038
Y 0.750 0.244 0.962
N 0.250 0.815 0.449
Ba 0.250 0.356 0.311
Ba 0.750 0.644 0.689
N 0.250 0.958 0.835
N 0.750 0.581 0.156
Hf 0.250 0.125 0.652
N 0.750 0.042 0.165
N 0.750 0.185 0.551

=====

No. 8
Computed, not measured: a relaxed BaHfZrN3 crystal at the GGA-PBE level of DFT.

## Properties
* space-group type: P2_1/m, No. 11
* crystal system: monoclinic
* M_tot: 0.0000 μB/atom
* E_form (uncorrected): -123.0 kJ/mol of atoms

abc: 3.519 6.032 8.828
angles: 103.14 90.00 90.00
Element x y z (fractional)
N 0.750 0.192 0.537
Hf 0.750 0.872 0.347
Zr 0.750 0.238 0.964
N 0.250 0.426 0.855
Hf 0.250 0.128 0.653
Ba 0.750 0.646 0.691
Zr 0.250 0.762 0.036
N 0.750 0.574 0.145
N 0.250 0.974 0.854
N 0.250 0.808 0.463
Ba 0.250 0.354 0.309
N 0.750 0.026 0.146